VASP calculation (PBE) on a relaxed structure of Ba3Sr2Pt.

Results
total magnetization: 0.000 μB per atom
space group: C2/m (12)
DFT formation energy: -7.25 kcal/mol of atoms
energy: -2.843 eV per atom

Lattice parameters (Å, degrees): 11.779 11.779 4.512 100.85 100.85 31.07
Sites, in units of the cell vectors:
Ba  0.000  0.000  0.000
Ba  0.402  0.402  0.403
Ba  0.598  0.598  0.597
Sr  0.203  0.203  0.202
Sr  0.797  0.797  0.798
Pt  0.500  0.500  0.000